one) Below is CrAs3 after structural relaxation, with properties calculated at the PBE level.

Computed properties:
crystal system: hexagonal
M_tot: 0.89 μB/atom
D(E_F): 0.676 states/eV per atom

The structure in CIF format:
```
data_CrAs3
_space_group_name_H-M_alt 'P 63/m m c'
_space_group_IT_number 194
_space_group_name_Hall '-P 6c 2c'
_cell_length_a 5.8373
_cell_length_b 5.8373
_cell_length_c 9.8539
_cell_angle_alpha 90.00
_cell_angle_beta 90.00
_cell_angle_gamma 120.00
loop_
_atom_site_label
_atom_site_type_symbol
_atom_site_fract_x
_atom_site_fract_y
_atom_site_fract_z
_atom_site_occupancy
Cr1 Cr 0.0000 0.0000 0.0000 1
Cr2 Cr 0.3333 0.6667 0.2500 1
As1 As 0.0000 0.5000 0.0000 1
As2 As 0.1550 0.3101 0.7500 1
```

***

two) Below is CrAs3 after structural relaxation, with properties calculated at the PBE level.

Computed properties:
crystal system: cubic
M_tot: 0.78 μB/atom
D(E_F): 0.638 states/eV per atom

The structure in CIF format:
```
data_CrAs3
_space_group_name_H-M_alt 'I m -3 m'
_space_group_IT_number 229
_space_group_name_Hall '-I 4 2 3'
_cell_length_a 5.338
_cell_length_b 5.338
_cell_length_c 5.338
_cell_angle_alpha 90.00
_cell_angle_beta 90.00
_cell_angle_gamma 90.00
loop_
_atom_site_label
_atom_site_type_symbol
_atom_site_fract_x
_atom_site_fract_y
_atom_site_fract_z
_atom_site_occupancy
Cr1 Cr 0.000 0.000 0.000 1
As1 As 0.000 0.000 0.500 1
```

***

three) Below is CrAs3 after structural relaxation, with properties calculated at the PBE level.

Computed properties:
crystal system: tetragonal
M_tot: 0.88 μB/atom
D(E_F): 0.491 states/eV per atom

The structure in CIF format:
```
data_CrAs3
_space_group_name_H-M_alt 'P 4/m m m'
_space_group_IT_number 123
_space_group_name_Hall '-P 4 2'
_cell_length_a 4.649
_cell_length_b 4.649
_cell_length_c 3.313
_cell_angle_alpha 90.00
_cell_angle_beta 90.00
_cell_angle_gamma 90.00
loop_
_atom_site_label
_atom_site_type_symbol
_atom_site_fract_x
_atom_site_fract_y
_atom_site_fract_z
_atom_site_occupancy
Cr1 Cr 0.000 0.000 0.000 1
As1 As 0.000 0.500 0.500 1
As2 As 0.500 0.500 0.000 1
```

***

The most stable arrangement is two), and the next structure is 17.1 kJ/mol of atoms less stable.

***

one) Below is CsCrAs after structural relaxation, with properties calculated at the PBE level.

Computed properties:
crystal system: triclinic
M_tot: 0.00 μB/atom
D(E_F): 0.527 states/eV per atom

The structure in CIF format:
```
data_CsCrAs
_space_group_name_H-M_alt 'P 1'
_space_group_IT_number 1
_space_group_name_Hall 'P 1'
_cell_length_a 4.319
_cell_length_b 4.542
_cell_length_c 13.143
_cell_angle_alpha 82.55
_cell_angle_beta 80.60
_cell_angle_gamma 61.62
loop_
_atom_site_label
_atom_site_type_symbol
_atom_site_fract_x
_atom_site_fract_y
_atom_site_fract_z
_atom_site_occupancy
Cs1 Cs 0.000 0.000 0.000 1
Cs2 Cs 0.436 0.548 0.584 1
Cr1 Cr 0.037 0.657 0.272 1
Cr2 Cr 0.792 0.096 0.323 1
As1 As 0.202 0.196 0.403 1
As2 As 0.620 0.569 0.193 1
```

***

two) Below is CsCrAs after structural relaxation, with properties calculated at the PBE level.

Computed properties:
crystal system: triclinic
M_tot: 0.00 μB/atom
D(E_F): 0.039 states/eV per atom

The structure in CIF format:
```
data_CsCrAs
_space_group_name_H-M_alt 'P -1'
_space_group_IT_number 2
_space_group_name_Hall '-P 1'
_cell_length_a 3.871
_cell_length_b 3.873
_cell_length_c 13.542
_cell_angle_alpha 90.49
_cell_angle_beta 96.15
_cell_angle_gamma 110.67
loop_
_atom_site_label
_atom_site_type_symbol
_atom_site_fract_x
_atom_site_fract_y
_atom_site_fract_z
_atom_site_occupancy
Cs1 Cs 0.004 0.191 0.310 1
Cr1 Cr 0.357 0.616 0.955 1
As1 As 0.272 0.802 0.117 1
```

***

The most stable arrangement is two), and the next structure is 4.6 kJ/mol of atoms less stable.